No. 1
Computed, not measured: an optimized crystal structure of KSi2Cl at the PBE-GGA level of DFT.

Unit cell a=5.215 b=5.215 c=5.215 alpha=60.00 beta=60.00 gamma=60.00
Atoms (fractional coordinates):
K (0.000, 0.000, 0.000)
Si (0.250, 0.250, 0.250)
Si (0.750, 0.750, 0.750)
Cl (0.500, 0.500, 0.500)

- uncorrected formation energy (eV per atom) = 0.889
- E (eV per atom) = -2.56
- Fermi-level density of states (states/eV per cell) = 4.4

No. 2
Computed, not measured: an optimized crystal structure of ZrTe2Pt at the PBE-GGA level of DFT.

Unit cell a=7.848 b=7.848 c=7.848 alpha=151.65 beta=151.13 gamma=40.91
Atoms (fractional coordinates):
Zr (0.000, 0.000, 0.000)
Te (0.409, 0.409, 0.000)
Te (0.655, 0.155, 0.500)
Pt (0.140, 0.640, 0.500)

- uncorrected formation energy (eV per atom) = -0.662
- E (eV per atom) = -5.88
- Fermi-level density of states (states/eV per cell) = 1.2

No. 3
Computed, not measured: an optimized crystal structure of LiPd2Pb4 at the PBE-GGA level of DFT.

Unit cell a=9.626 b=9.626 c=9.626 alpha=27.77 beta=27.77 gamma=27.77
Atoms (fractional coordinates):
Li (0.000, 0.000, 0.000)
Pd (0.095, 0.095, 0.095)
Pd (0.905, 0.905, 0.905)
Pb (0.205, 0.205, 0.205)
Pb (0.382, 0.382, 0.382)
Pb (0.618, 0.618, 0.618)
Pb (0.795, 0.795, 0.795)

- E (eV per atom) = -4.09
- Fermi-level density of states (states/eV per cell) = 2.6
- formation energy (eV/atom) = -0.21

No. 4
Computed, not measured: an optimized crystal structure of TaRu2W at the PBE-GGA level of DFT.

Unit cell a=4.660 b=4.660 c=2.927 alpha=90.00 beta=90.00 gamma=102.00
Atoms (fractional coordinates):
Ta (0.000, 0.000, 0.000)
Ru (0.000, 0.500, 0.500)
Ru (0.500, 0.000, 0.500)
W (0.500, 0.500, 0.000)

- E (eV per atom) = -10.92
- Fermi-level density of states (states/eV per cell) = 4.7
- formation energy (eV/atom) = -0.08

No. 5
Computed, not measured: an optimized crystal structure of Fe2CoNi at the PBE-GGA level of DFT.

Unit cell a=4.386 b=4.386 c=4.377 alpha=99.25 beta=99.25 gamma=33.28
Atoms (fractional coordinates):
Fe (0.000, 0.000, 0.000)
Fe (0.244, 0.244, 0.729)
Co (0.753, 0.753, 0.237)
Ni (0.495, 0.495, 0.494)

- E (eV per atom) = -7.44
- Fermi-level density of states (states/eV per cell) = 3.4
- formation energy (eV/atom) = 0.01

No. 6
Computed, not measured: an optimized crystal structure of RbCaI2 at the PBE-GGA level of DFT.

Unit cell a=9.380 b=9.380 c=9.380 alpha=129.68 beta=129.68 gamma=73.92
Atoms (fractional coordinates):
Rb (0.000, 0.000, 0.000)
Rb (0.750, 0.250, 0.500)
Ca (0.250, 0.750, 0.500)
Ca (0.500, 0.500, 0.000)
I (0.187, 0.625, 0.062)
I (0.375, 0.437, 0.562)
I (0.563, 0.125, 0.938)
I (0.875, 0.813, 0.438)

- uncorrected formation energy (eV per atom) = -1.047
- E (eV per atom) = -2.56
- Fermi-level density of states (states/eV per cell) = 7.6

No. 7
Computed, not measured: an optimized crystal structure of Ca3Mg7Cd4 at the PBE-GGA level of DFT.

Unit cell a=9.058 b=9.058 c=10.827 alpha=122.46 beta=122.46 gamma=29.58
Atoms (fractional coordinates):
Ca (0.000, 0.000, 0.000)
Ca (0.307, 0.307, 0.301)
Ca (0.693, 0.693, 0.699)
Mg (0.000, 0.000, 0.500)
Mg (0.160, 0.160, 0.431)
Mg (0.320, 0.320, 0.986)
Mg (0.491, 0.491, 0.695)
Mg (0.509, 0.509, 0.305)
Mg (0.680, 0.680, 0.014)
Mg (0.840, 0.840, 0.569)
Cd (0.115, 0.115, 0.826)
Cd (0.341, 0.341, 0.738)
Cd (0.659, 0.659, 0.262)
Cd (0.885, 0.885, 0.174)

- E (eV per atom) = -1.66
- Fermi-level density of states (states/eV per cell) = 7.8
- formation energy (eV/atom) = -0.17

No. 8
Computed, not measured: an optimized crystal structure of ReTc2Pt at the PBE-GGA level of DFT.

Unit cell a=4.753 b=4.753 c=4.753 alpha=131.40 beta=131.40 gamma=71.18
Atoms (fractional coordinates):
Re (0.000, 0.000, 0.000)
Tc (0.500, 0.500, 0.000)
Tc (0.750, 0.250, 0.500)
Pt (0.250, 0.750, 0.500)

- E (eV per atom) = -9.89
- Fermi-level density of states (states/eV per cell) = 3.7
- formation energy (eV/atom) = -0.09

No. 9
Computed, not measured: an optimized crystal structure of Ni2H at the PBE-GGA level of DFT.

Unit cell a=2.545 b=2.545 c=4.230 alpha=90.00 beta=90.00 gamma=120.00
Atoms (fractional coordinates):
Ni (0.333, 0.667, 0.241)
Ni (0.667, 0.333, 0.759)
H (0.000, 0.000, 0.500)

- E (eV per atom) = -4.98
- Fermi-level density of states (states/eV per cell) = 5.2

No. 10
Computed, not measured: an optimized crystal structure of Ca2Mg2Cu at the PBE-GGA level of DFT.

Unit cell a=6.194 b=6.194 c=7.933 alpha=90.00 beta=90.00 gamma=76.03
Atoms (fractional coordinates):
Ca (0.197, 0.197, 0.000)
Ca (0.197, 0.197, 0.500)
Ca (0.803, 0.803, 0.000)
Ca (0.803, 0.803, 0.500)
Mg (0.334, 0.666, 0.579)
Mg (0.334, 0.666, 0.921)
Mg (0.666, 0.334, 0.079)
Mg (0.666, 0.334, 0.421)
Cu (0.339, 0.661, 0.250)
Cu (0.661, 0.339, 0.750)

- E (eV per atom) = -2.07
- Fermi-level density of states (states/eV per cell) = 8.2
- formation energy (eV/atom) = 0.19

No. 11
Computed, not measured: an optimized crystal structure of Be5Mo4 at the PBE-GGA level of DFT.

Unit cell a=7.126 b=7.126 c=4.848 alpha=90.00 beta=90.00 gamma=120.00
Atoms (fractional coordinates):
Be (0.000, 0.309, 0.250)
Be (0.000, 0.691, 0.750)
Be (0.309, 0.000, 0.250)
Be (0.309, 0.309, 0.750)
Be (0.333, 0.667, 0.000)
Be (0.333, 0.667, 0.500)
Be (0.667, 0.333, 0.000)
Be (0.667, 0.333, 0.500)
Be (0.691, 0.000, 0.750)
Be (0.691, 0.691, 0.250)
Mo (0.000, 0.000, 0.000)
Mo (0.000, 0.000, 0.500)
Mo (0.000, 0.362, 0.750)
Mo (0.000, 0.638, 0.250)
Mo (0.362, 0.000, 0.750)
Mo (0.362, 0.362, 0.250)
Mo (0.638, 0.000, 0.250)
Mo (0.638, 0.638, 0.750)

- E (eV per atom) = -6.76
- Fermi-level density of states (states/eV per cell) = 9.6
- formation energy (eV/atom) = 0.12

No. 12
Computed, not measured: an optimized crystal structure of ReAs2Pt at the PBE-GGA level of DFT.

Unit cell a=2.972 b=2.972 c=7.964 alpha=90.00 beta=90.00 gamma=90.00
Atoms (fractional coordinates):
Re (0.000, 0.000, 0.000)
As (0.000, 0.000, 0.552)
As (0.500, 0.500, 0.191)
Pt (0.500, 0.500, 0.758)

- E (eV per atom) = -6.85
- Fermi-level density of states (states/eV per cell) = 2.8
- formation energy (eV/atom) = 0.09

No. 13
Computed, not measured: an optimized crystal structure of AcLa6Tb12 at the PBE-GGA level of DFT.

Unit cell a=10.183 b=10.183 c=10.183 alpha=113.32 beta=113.32 gamma=113.32
Atoms (fractional coordinates):
Ac (0.000, 0.000, 0.000)
La (0.307, 0.307, 0.585)
La (0.307, 0.585, 0.307)
La (0.415, 0.693, 0.693)
La (0.585, 0.307, 0.307)
La (0.693, 0.415, 0.693)
La (0.693, 0.693, 0.415)
Tb (0.110, 0.758, 0.758)
Tb (0.119, 0.500, 0.881)
Tb (0.119, 0.881, 0.500)
Tb (0.242, 0.242, 0.890)
Tb (0.242, 0.890, 0.242)
Tb (0.500, 0.119, 0.881)
Tb (0.500, 0.881, 0.119)
Tb (0.758, 0.110, 0.758)
Tb (0.758, 0.758, 0.110)
Tb (0.881, 0.119, 0.500)
Tb (0.881, 0.500, 0.119)
Tb (0.890, 0.242, 0.242)

- E (eV per atom) = -4.40
- Fermi-level density of states (states/eV per cell) = 31.6
- formation energy (eV/atom) = 0.29

No. 14
Computed, not measured: an optimized crystal structure of ScInHg at the PBE-GGA level of DFT.

Unit cell a=3.275 b=4.947 c=8.381 alpha=90.00 beta=90.01 gamma=90.00
Atoms (fractional coordinates):
Sc (0.000, 0.250, 0.249)
Sc (0.000, 0.750, 0.751)
In (0.499, 0.750, 0.415)
In (0.501, 0.250, 0.585)
Hg (0.499, 0.250, 0.919)
Hg (0.501, 0.750, 0.081)

- E (eV per atom) = -3.40
- Fermi-level density of states (states/eV per cell) = 4.2
- formation energy (eV/atom) = -0.27